[1]
# GaAgPtCl2 (PBE, relaxed)
data_GaAgPtCl2
_chemical_formula_sum 'Ga1 Ag1 Pt1 Cl2'
_cell_length_a 4.584
_cell_length_b 4.584
_cell_length_c 6.013
_cell_angle_alpha 90.00
_cell_angle_beta 90.00
_cell_angle_gamma 90.00
_space_group_name_H-M_alt 'P 4/m m m'
_space_group_IT_number 123
_space_group_name_Hall '-P 4 2'
loop_
_atom_site_label
_atom_site_fract_x
_atom_site_fract_y
_atom_site_fract_z
Ga1 0.000 0.000 0.000
Ag1 0.000 0.000 0.500
Pt1 0.500 0.500 0.500
Cl1 0.000 0.500 0.000
# **Crystal system**: tetragonal
# **Density**: 5829 kg/m³
# **ΔE_f (raw)**: 0.55 eV/atom
# **N(E_F)**: 0.704 states/eV per atom



[2]
# RbGaAgCl6 (PBE, relaxed)
data_RbGaAgCl6
_chemical_formula_sum 'Rb1 Ga1 Ag1 Cl6'
_cell_length_a 6.518
_cell_length_b 6.520
_cell_length_c 7.230
_cell_angle_alpha 92.14
_cell_angle_beta 92.18
_cell_angle_gamma 115.17
_space_group_name_H-M_alt 'P 1'
_space_group_IT_number 1
loop_
_space_group_symop_operation_xyz
'x,y,z'
loop_
_atom_site_label
_atom_site_fract_x
_atom_site_fract_y
_atom_site_fract_z
Rb1 0.000 0.000 0.000
Ga1 0.661 0.340 0.500
Ag1 0.317 0.684 0.500
Cl1 0.363 0.046 0.671
Cl2 0.376 0.395 0.300
Cl3 0.605 0.624 0.700
Cl4 0.639 0.061 0.287
Cl5 0.939 0.359 0.712
Cl6 0.954 0.637 0.329
# **Crystal system**: triclinic
# **Density**: 2848 kg/m³
# **ΔE_f (raw)**: -1.02 eV/atom
# **N(E_F)**: 0.167 states/eV per atom



[3]
# GaSiAg2Cl (PBE, relaxed)
data_GaSiAg2Cl
_chemical_formula_sum 'Ga1 Si1 Ag2 Cl1'
_cell_length_a 4.866
_cell_length_b 4.866
_cell_length_c 5.209
_cell_angle_alpha 90.00
_cell_angle_beta 90.00
_cell_angle_gamma 90.00
_space_group_name_H-M_alt 'P 4/m m m'
_space_group_IT_number 123
_space_group_name_Hall '-P 4 2'
loop_
_atom_site_label
_atom_site_fract_x
_atom_site_fract_y
_atom_site_fract_z
Ga1 0.000 0.000 0.000
Si1 0.500 0.500 0.500
Ag1 0.000 0.500 0.500
Cl1 0.500 0.500 0.000
# **Crystal system**: tetragonal
# **Density**: 4699 kg/m³
# **ΔE_f (raw)**: 0.19 eV/atom
# **N(E_F)**: 0.104 states/eV per atom